Here is a relaxed structure of Li2Rh from the Alexandria database. Energies are from PBE.

Results
**Calculated formation energy**: 0.01 eV per atom
**Magnetic moment**: 0.00 μB per formula unit
**Symmetry**: P4/mmm

POSCAR file:
```
Li2Rh
1.0
-2.4325 2.8866 2.5758
-2.8963 0.6584 -3.4731
-1.4180 -1.9246 0.8177
Li Rh
2 1
Direct
0.0000 0.5000 0.5000 Li
0.5000 0.0000 0.5000 Li
0.0000 0.0000 0.0000 Rh
```